No. 1
# Er2TmPd PBE-GGA optimized geometry
# **ΔE to the lowest computed polymorph**: 0.186 eV/atom
# **Magnetic moment**: 1.3 μB/cell
# **V**: 329.5 Å³/cell
# **Energy relative to the elements**: -0.31 eV/atom
data_Er2TmPd
_chemical_formula_sum 'Er6 Tm3 Pd3'
_symmetry_space_group_name_H-M 'R 3 m'
_symmetry_Int_Tables_number 160
_symmetry_space_group_name_Hall 'R 3 -2"'
_cell_length_a 3.6474
_cell_length_b 3.6474
_cell_length_c 28.6016
_cell_angle_alpha 90.00
_cell_angle_beta 90.00
_cell_angle_gamma 120.00
loop_
_atom_site_label
_atom_site_type_symbol
_atom_site_fract_x
_atom_site_fract_y
_atom_site_fract_z
_atom_site_occupancy
Er1 Er 0.0000 0.0000 0.0000 1
Er2 Er 0.0000 0.0000 0.1997 1
Tm1 Tm 0.0000 0.0000 0.4343 1
Pd1 Pd 0.0000 0.0000 0.5998 1

---

No. 2
# Er2TmPd PBE-GGA optimized geometry
# **ΔE to the lowest computed polymorph**: 0.066 eV/atom
# **Magnetic moment**: 0.0 μB/cell
# **V**: 103.6 Å³/cell
# **Energy relative to the elements**: -0.43 eV/atom
data_Er2TmPd
_chemical_formula_sum 'Er2 Tm1 Pd1'
_symmetry_space_group_name_H-M 'P 4/m m m'
_symmetry_Int_Tables_number 123
_symmetry_space_group_name_Hall '-P 4 2'
_cell_length_a 3.541
_cell_length_b 3.541
_cell_length_c 8.263
_cell_angle_alpha 90.00
_cell_angle_beta 90.00
_cell_angle_gamma 90.00
loop_
_atom_site_label
_atom_site_type_symbol
_atom_site_fract_x
_atom_site_fract_y
_atom_site_fract_z
_atom_site_occupancy
Er1 Er 0.000 0.000 0.201 1
Tm1 Tm 0.500 0.500 0.500 1
Pd1 Pd 0.500 0.500 0.000 1

---

No. 3
# ErTmPd PBE-GGA optimized geometry
# **ΔE to the lowest computed polymorph**: 0.000 eV/atom
# **Magnetic moment**: 0.0 μB/cell
# **V**: 293.9 Å³/cell
# **Energy relative to the elements**: -0.65 eV/atom
data_ErTmPd
_chemical_formula_sum 'Er4 Tm4 Pd4'
_symmetry_space_group_name_H-M 'P n m a'
_symmetry_Int_Tables_number 62
_symmetry_space_group_name_Hall '-P 2ac 2n'
_cell_length_a 7.006
_cell_length_b 4.838
_cell_length_c 8.670
_cell_angle_alpha 90.00
_cell_angle_beta 90.00
_cell_angle_gamma 90.00
loop_
_atom_site_label
_atom_site_type_symbol
_atom_site_fract_x
_atom_site_fract_y
_atom_site_fract_z
_atom_site_occupancy
Er1 Er 0.145 0.250 0.080 1
Tm1 Tm 0.016 0.250 0.672 1
Pd1 Pd 0.239 0.250 0.405 1

---

No. 4
# ErTm2Pd2 PBE-GGA optimized geometry
# **ΔE to the lowest computed polymorph**: 0.000 eV/atom
# **Magnetic moment**: 0.0 μB/cell
# **V**: 232.6 Å³/cell
# **Energy relative to the elements**: -0.77 eV/atom
data_ErTm2Pd2
_chemical_formula_sum 'Er2 Tm4 Pd4'
_symmetry_space_group_name_H-M 'P 4/m b m'
_symmetry_Int_Tables_number 127
_symmetry_space_group_name_Hall '-P 4 2ab'
_cell_length_a 7.694
_cell_length_b 7.694
_cell_length_c 3.929
_cell_angle_alpha 90.00
_cell_angle_beta 90.00
_cell_angle_gamma 90.00
loop_
_atom_site_label
_atom_site_type_symbol
_atom_site_fract_x
_atom_site_fract_y
_atom_site_fract_z
_atom_site_occupancy
Er1 Er 0.000 0.000 0.000 1
Tm1 Tm 0.163 0.337 0.500 1
Pd1 Pd 0.135 0.635 0.000 1

---

No. 5
# Er3TmPd6 PBE-GGA optimized geometry
# **Magnetic moment**: 0.0 μB/cell
# **V**: 394.1 Å³/cell
# **Energy relative to the elements**: -0.88 eV/atom
data_Er3TmPd6
_chemical_formula_sum 'Er6 Tm2 Pd12'
_symmetry_space_group_name_H-M 'P 1 21/m 1'
_symmetry_Int_Tables_number 11
_symmetry_space_group_name_Hall '-P 2yb'
_cell_length_a 8.219
_cell_length_b 4.888
_cell_length_c 10.279
_cell_angle_alpha 90.00
_cell_angle_beta 107.38
_cell_angle_gamma 90.00
loop_
_atom_site_label
_atom_site_type_symbol
_atom_site_fract_x
_atom_site_fract_y
_atom_site_fract_z
_atom_site_occupancy
Er1 Er 0.020 0.250 0.386 1
Er2 Er 0.142 0.750 0.195 1
Er3 Er 0.291 0.250 0.990 1
Tm1 Tm 0.436 0.250 0.609 1
Pd1 Pd 0.053 0.750 0.908 1
Pd2 Pd 0.142 0.250 0.696 1
Pd3 Pd 0.257 0.750 0.488 1
Pd4 Pd 0.347 0.250 0.303 1
Pd5 Pd 0.354 0.750 0.801 1
Pd6 Pd 0.427 0.750 0.107 1

---

No. 6
# ErTm6Pd3 PBE-GGA optimized geometry
# **Magnetic moment**: 0.0 μB/cell
# **V**: 1043.7 Å³/cell
# **Energy relative to the elements**: -0.53 eV/atom
data_ErTm6Pd3
_chemical_formula_sum 'Er4 Tm24 Pd12'
_symmetry_space_group_name_H-M 'C m c 21'
_symmetry_Int_Tables_number 36
_symmetry_space_group_name_Hall 'C 2c -2'
_cell_length_a 11.151
_cell_length_b 13.035
_cell_length_c 7.180
_cell_angle_alpha 90.00
_cell_angle_beta 90.00
_cell_angle_gamma 90.00
loop_
_atom_site_label
_atom_site_type_symbol
_atom_site_fract_x
_atom_site_fract_y
_atom_site_fract_z
_atom_site_occupancy
Er1 Er 0.000 0.183 0.000 1
Tm1 Tm 0.000 0.271 0.521 1
Tm2 Tm 0.000 0.466 0.878 1
Tm3 Tm 0.167 0.039 0.372 1
Tm4 Tm 0.228 0.308 0.220 1
Pd1 Pd 0.000 0.079 0.666 1
Pd2 Pd 0.192 0.397 0.585 1

---

No. 7
# Er3Tm3Pd2 PBE-GGA optimized geometry
# **Magnetic moment**: 0.0 μB/cell
# **V**: 869.3 Å³/cell
# **Energy relative to the elements**: -0.39 eV/atom
data_Er3Tm3Pd2
_chemical_formula_sum 'Er12 Tm12 Pd8'
_symmetry_space_group_name_H-M 'C m c m'
_symmetry_Int_Tables_number 63
_symmetry_space_group_name_Hall '-C 2c 2'
_cell_length_a 3.721
_cell_length_b 13.018
_cell_length_c 17.943
_cell_angle_alpha 90.00
_cell_angle_beta 90.00
_cell_angle_gamma 90.00
loop_
_atom_site_label
_atom_site_type_symbol
_atom_site_fract_x
_atom_site_fract_y
_atom_site_fract_z
_atom_site_occupancy
Er1 Er 0.000 0.052 0.090 1
Er2 Er 0.000 0.304 0.250 1
Tm1 Tm 0.000 0.334 0.052 1
Tm2 Tm 0.000 0.428 0.750 1
Pd1 Pd 0.000 0.282 0.635 1

---

No. 8
# Er3TmPd12 PBE-GGA optimized geometry
# **Magnetic moment**: 0.0 μB/cell
# **V**: 276.1 Å³/cell
# **Energy relative to the elements**: -0.90 eV/atom
data_Er3TmPd12
_chemical_formula_sum 'Er3 Tm1 Pd12'
_symmetry_space_group_name_H-M 'P 4/m m m'
_symmetry_Int_Tables_number 123
_symmetry_space_group_name_Hall '-P 4 2'
_cell_length_a 4.096
_cell_length_b 4.096
_cell_length_c 16.457
_cell_angle_alpha 90.00
_cell_angle_beta 90.00
_cell_angle_gamma 90.00
loop_
_atom_site_label
_atom_site_type_symbol
_atom_site_fract_x
_atom_site_fract_y
_atom_site_fract_z
_atom_site_occupancy
Er1 Er 0.000 0.000 0.000 1
Er2 Er 0.000 0.000 0.250 1
Tm1 Tm 0.000 0.000 0.500 1
Pd1 Pd 0.000 0.500 0.125 1
Pd2 Pd 0.000 0.500 0.376 1
Pd3 Pd 0.500 0.500 0.000 1
Pd4 Pd 0.500 0.500 0.250 1
Pd5 Pd 0.500 0.500 0.500 1

---

No. 9
# ErTmPd PBE-GGA optimized geometry
# **ΔE to the lowest computed polymorph**: 0.144 eV/atom
# **Magnetic moment**: 0.0 μB/cell
# **V**: 319.4 Å³/cell
# **Energy relative to the elements**: -0.51 eV/atom
data_ErTmPd
_chemical_formula_sum 'Er4 Tm4 Pd4'
_symmetry_space_group_name_H-M 'F -4 3 m'
_symmetry_Int_Tables_number 216
_symmetry_space_group_name_Hall 'F -4 2 3'
_cell_length_a 6.836
_cell_length_b 6.836
_cell_length_c 6.836
_cell_angle_alpha 90.00
_cell_angle_beta 90.00
_cell_angle_gamma 90.00
loop_
_atom_site_label
_atom_site_type_symbol
_atom_site_fract_x
_atom_site_fract_y
_atom_site_fract_z
_atom_site_occupancy
Er1 Er 0.000 0.000 0.000 1
Tm1 Tm 0.000 0.000 0.500 1
Pd1 Pd 0.250 0.250 0.250 1

---

No. 10
# Er2Tm2Pd3 PBE-GGA optimized geometry
# **ΔE to the lowest computed polymorph**: 0.000 eV/atom
# **Magnetic moment**: 0.0 μB/cell
# **V**: 327.0 Å³/cell
# **Energy relative to the elements**: -0.76 eV/atom
data_Er2Tm2Pd3
_chemical_formula_sum 'Er4 Tm4 Pd6'
_symmetry_space_group_name_H-M 'C 1 2/m 1'
_symmetry_Int_Tables_number 12
_symmetry_space_group_name_Hall '-C 2y'
_cell_length_a 8.409
_cell_length_b 4.869
_cell_length_c 8.460
_cell_angle_alpha 90.00
_cell_angle_beta 109.23
_cell_angle_gamma 90.00
loop_
_atom_site_label
_atom_site_type_symbol
_atom_site_fract_x
_atom_site_fract_y
_atom_site_fract_z
_atom_site_occupancy
Er1 Er 0.126 0.000 0.376 1
Tm1 Tm 0.125 0.500 0.874 1
Pd1 Pd 0.000 0.000 0.000 1
Pd2 Pd 0.250 0.000 0.750 1

---

No. 11
# ErTmPd PBE-GGA optimized geometry
# **ΔE to the lowest computed polymorph**: 0.199 eV/atom
# **Magnetic moment**: 1.1 μB/cell
# **V**: 240.4 Å³/cell
# **Energy relative to the elements**: -0.46 eV/atom
data_ErTmPd
_chemical_formula_sum 'Er3 Tm3 Pd3'
_symmetry_space_group_name_H-M 'R 3 m'
_symmetry_Int_Tables_number 160
_symmetry_space_group_name_Hall 'R 3 -2"'
_cell_length_a 3.7148
_cell_length_b 3.7148
_cell_length_c 20.1182
_cell_angle_alpha 90.00
_cell_angle_beta 90.00
_cell_angle_gamma 120.00
loop_
_atom_site_label
_atom_site_type_symbol
_atom_site_fract_x
_atom_site_fract_y
_atom_site_fract_z
_atom_site_occupancy
Er1 Er 0.0000 0.0000 0.0000 1
Tm1 Tm 0.0000 0.0000 0.1843 1
Pd1 Pd 0.0000 0.0000 0.4253 1

---

No. 12
# ErTmZnPd PBE-GGA optimized geometry
# **ΔE to the lowest computed polymorph**: 0.025 eV/atom
# **Magnetic moment**: 0.0 μB/cell
# **V**: 342.6 Å³/cell
# **Energy relative to the elements**: -0.63 eV/atom
data_ErTmZnPd
_chemical_formula_sum 'Er4 Tm4 Zn4 Pd4'
_symmetry_space_group_name_H-M 'F -4 3 m'
_symmetry_Int_Tables_number 216
_symmetry_space_group_name_Hall 'F -4 2 3'
_cell_length_a 6.998
_cell_length_b 6.998
_cell_length_c 6.998
_cell_angle_alpha 90.00
_cell_angle_beta 90.00
_cell_angle_gamma 90.00
loop_
_atom_site_label
_atom_site_type_symbol
_atom_site_fract_x
_atom_site_fract_y
_atom_site_fract_z
_atom_site_occupancy
Er1 Er 0.000 0.000 0.000 1
Tm1 Tm 0.000 0.000 0.500 1
Zn1 Zn 0.250 0.250 0.250 1
Pd1 Pd 0.250 0.250 0.750 1

---

magnetic moment of number 5 (Er3TmPd6)?
0.0 μB/cell

---

energy relative to the elements of number 3 (ErTmPd)?
-0.65 eV/atom

---

Which of these has the highest energy relative to the elements?
number 1

---

Which value of energy relative to the elements does entry 3 give?
-0.65 eV/atom